# LaMoPdAu2 | the Alexandria database | PBE | relaxed
# **Volume**: 25.0 A^3/atom
# **E**: -26.3 eV/cell
data_LaMoPdAu2
_cell_length_a 5.089
_cell_length_b 5.089
_cell_length_c 4.827
_cell_angle_alpha 90.00
_cell_angle_beta 90.00
_cell_angle_gamma 90.00
_symmetry_space_group_name_H-M 'P 4/m m m'
_symmetry_Int_Tables_number 123
_symmetry_space_group_name_Hall '-P 4 2'
loop_
_atom_site_label
_atom_site_type_symbol
_atom_site_fract_x
_atom_site_fract_y
_atom_site_fract_z
La1 La 0.000 0.000 0.000
Mo1 Mo 0.500 0.500 0.500
Pd1 Pd 0.500 0.500 0.000
Au1 Au 0.000 0.500 0.500